[1]
{
  "formula": "YB4O7",
  "functional": "PBE-GGA",
  "state": "optimized geometry",
  "vol_a3_per_cell": 205,
  "sg": "Pmn2_1, No. 31",
  "lattice_angstrom": [[-2.576, 3.401, 0.117], [-0.568, -0.279, -4.384], [-8.524, -6.508, 1.517]],
  "species": ["O", "O", "O", "O", "O", "O", "B", "B", "Y", "O", "B", "O", "O", "O", "Y", "O", "O", "O", "B", "B", "O", "B", "B", "B"],
  "fractional_positions": [[0.922, 0.130, 0.281], [0.922, 0.130, 0.719], [0.528, 0.356, 0.858], [0.927, 0.737, 0.868], [0.427, 0.263, 0.368], [0.422, 0.870, 0.781], [0.092, 0.325, 0.621], [0.092, 0.325, 0.379], [0.603, 0.806, 0.500], [0.474, 0.766, 0.000], [0.069, 0.826, 0.753], [0.528, 0.356, 0.142], [0.427, 0.263, 0.632], [0.927, 0.737, 0.132], [0.103, 0.194, 0.000], [0.028, 0.644, 0.358], [0.422, 0.870, 0.219], [0.028, 0.644, 0.642], [0.069, 0.826, 0.247], [0.592, 0.675, 0.879], [0.974, 0.234, 0.500], [0.569, 0.174, 0.253], [0.592, 0.675, 0.121], [0.569, 0.174, 0.747]]
}

[2]
{
  "formula": "Y2BO",
  "functional": "PBE-GGA",
  "state": "optimized geometry",
  "vol_a3_per_cell": 164,
  "sg": "I-42d, No. 122",
  "e_above_lowest_polymorph_kj_per_mol_atoms": 0.0,
  "lattice_angstrom": [[-1.867, 4.821, -1.676], [-4.749, -0.987, 2.451], [-1.396, 4.275, 5.040]],
  "species": ["B", "Y", "Y", "B", "O", "O", "Y", "Y"],
  "fractional_positions": [[0.500, 0.500, 0.000], [0.093, 0.625, 0.250], [0.375, 0.343, 0.750], [0.250, 0.750, 0.500], [0.750, 0.250, 0.500], [0.000, 0.000, 0.000], [0.657, 0.125, 0.250], [0.875, 0.907, 0.750]]
}

[3]
{
  "formula": "Y2BO",
  "functional": "PBE-GGA",
  "state": "optimized geometry",
  "vol_a3_per_cell": 63,
  "sg": "Fm-3m, No. 225",
  "e_above_lowest_polymorph_kj_per_mol_atoms": 51.7,
  "lattice_angstrom": [[0.000, 3.165, 3.165], [3.165, 0.000, 3.165], [3.165, 3.165, 0.000]],
  "species": ["Y", "B", "O", "Y"],
  "fractional_positions": [[0.750, 0.750, 0.750], [0.000, 0.000, 0.000], [0.500, 0.500, 0.500], [0.250, 0.250, 0.250]]
}

[4]
{
  "formula": "Y2BO5",
  "functional": "PBE-GGA",
  "state": "optimized geometry",
  "vol_a3_per_cell": 288,
  "sg": "Cmcm, No. 63",
  "lattice_angstrom": [[-1.295, 0.164, -4.069], [-4.497, -3.824, 3.522], [-5.544, 8.459, 2.105]],
  "species": ["O", "B", "O", "B", "O", "Y", "O", "O", "O", "Y", "O", "O", "O", "Y", "Y", "O"],
  "fractional_positions": [[0.028, 0.057, 0.131], [0.982, 0.964, 0.250], [0.972, 0.943, 0.869], [0.018, 0.036, 0.750], [0.314, 0.627, 0.496], [0.857, 0.714, 0.471], [0.686, 0.373, 0.504], [0.028, 0.057, 0.369], [0.314, 0.627, 0.004], [0.143, 0.286, 0.529], [0.972, 0.943, 0.631], [0.125, 0.251, 0.750], [0.875, 0.749, 0.250], [0.857, 0.714, 0.029], [0.143, 0.286, 0.971], [0.686, 0.373, 0.996]]
}

[5]
{
  "formula": "Y6BO12",
  "functional": "PBE-GGA",
  "state": "optimized geometry",
  "vol_a3_per_cell": 252,
  "sg": "R-3, No. 148",
  "lattice_angstrom": [[6.406, -0.017, -0.021], [-0.988, 6.329, -0.021], [-0.988, -1.151, 6.224]],
  "species": ["O", "Y", "O", "Y", "O", "O", "O", "Y", "O", "O", "B", "Y", "O", "O", "Y", "O", "O", "Y", "O"],
  "fractional_positions": [[0.735, 0.937, 0.029], [0.396, 0.696, 0.858], [0.404, 0.824, 0.562], [0.604, 0.304, 0.142], [0.596, 0.176, 0.438], [0.438, 0.596, 0.176], [0.971, 0.265, 0.063], [0.304, 0.142, 0.604], [0.063, 0.971, 0.265], [0.824, 0.562, 0.404], [0.000, 0.000, 0.000], [0.142, 0.604, 0.304], [0.937, 0.029, 0.735], [0.176, 0.438, 0.596], [0.696, 0.858, 0.396], [0.562, 0.404, 0.824], [0.029, 0.735, 0.937], [0.858, 0.396, 0.696], [0.265, 0.063, 0.971]]
}

[6]
{
  "formula": "Y2B2O7",
  "functional": "PBE-GGA",
  "state": "optimized geometry",
  "vol_a3_per_cell": 131,
  "sg": "C2/m, No. 12",
  "lattice_angstrom": [[4.684, -0.266, -0.383], [-0.805, 5.516, 0.032], [-0.805, -1.907, 5.176]],
  "species": ["B", "B", "O", "O", "O", "O", "O", "O", "Y", "Y", "O"],
  "fractional_positions": [[0.136, 0.763, 0.763], [0.864, 0.237, 0.237], [0.279, 0.883, 0.614], [0.813, 0.686, 0.686], [0.721, 0.117, 0.386], [0.000, 0.000, 0.000], [0.279, 0.614, 0.883], [0.187, 0.314, 0.314], [0.500, 0.303, 0.697], [0.500, 0.697, 0.303], [0.721, 0.386, 0.117]]
}

[7]
{
  "formula": "YB5O9",
  "functional": "PBE-GGA",
  "state": "optimized geometry",
  "vol_a3_per_cell": 578,
  "sg": "P2_1/c, No. 14",
  "lattice_angstrom": [[-5.740, -0.902, -2.649], [2.943, -7.448, 1.435], [-4.850, 0.101, 10.474]],
  "species": ["O", "Y", "O", "O", "Y", "O", "O", "O", "O", "O", "Y", "B", "O", "O", "B", "B", "B", "B", "B", "Y", "O", "O", "O", "B", "B", "O", "O", "O", "O", "O", "O", "O", "B", "O", "O", "O", "O", "B", "B", "O", "O", "O", "B", "B", "B", "B", "O", "O", "O", "O", "O", "O", "O", "B", "B", "O", "B", "O", "B", "B"],
  "fractional_positions": [[0.573, 0.563, 0.615], [0.752, 0.631, 0.325], [0.595, 0.292, 0.017], [0.217, 0.410, 0.007], [0.248, 0.869, 0.825], [0.405, 0.708, 0.983], [0.107, 0.777, 0.218], [0.761, 0.442, 0.177], [0.579, 0.338, 0.803], [0.730, 0.833, 0.094], [0.752, 0.131, 0.175], [0.490, 0.279, 0.405], [0.595, 0.792, 0.483], [0.922, 0.659, 0.517], [0.193, 0.410, 0.373], [0.289, 0.553, 0.938], [0.711, 0.947, 0.438], [0.139, 0.244, 0.968], [0.861, 0.756, 0.032], [0.248, 0.369, 0.675], [0.922, 0.159, 0.983], [0.270, 0.167, 0.906], [0.107, 0.277, 0.282], [0.861, 0.256, 0.468], [0.807, 0.090, 0.873], [0.863, 0.934, 0.840], [0.893, 0.223, 0.782], [0.893, 0.723, 0.718], [0.427, 0.937, 0.115], [0.239, 0.058, 0.677], [0.078, 0.341, 0.483], [0.421, 0.162, 0.303], [0.229, 0.667, 0.249], [0.137, 0.566, 0.340], [0.405, 0.208, 0.517], [0.573, 0.063, 0.885], [0.783, 0.590, 0.993], [0.510, 0.221, 0.905], [0.229, 0.167, 0.251], [0.239, 0.558, 0.823], [0.579, 0.838, 0.697], [0.730, 0.333, 0.406], [0.771, 0.333, 0.751], [0.289, 0.053, 0.562], [0.771, 0.833, 0.749], [0.490, 0.779, 0.095], [0.863, 0.434, 0.660], [0.270, 0.667, 0.594], [0.217, 0.910, 0.493], [0.427, 0.437, 0.385], [0.137, 0.066, 0.160], [0.783, 0.090, 0.507], [0.421, 0.662, 0.197], [0.193, 0.910, 0.127], [0.711, 0.447, 0.062], [0.078, 0.841, 0.017], [0.510, 0.721, 0.595], [0.761, 0.942, 0.323], [0.139, 0.744, 0.532], [0.807, 0.590, 0.627]]
}

[8]
{
  "formula": "YZn2B2O6",
  "functional": "PBE-GGA",
  "state": "optimized geometry",
  "vol_a3_per_cell": 154,
  "sg": "P-3, No. 147",
  "lattice_angstrom": [[-3.984, -0.987, 2.871], [-0.470, 0.104, -4.985], [1.510, -6.928, -0.286]],
  "species": ["O", "Zn", "B", "B", "O", "O", "Y", "O", "O", "Zn", "O"],
  "fractional_positions": [[0.611, 0.942, 0.802], [0.333, 0.667, 0.308], [0.667, 0.333, 0.203], [0.333, 0.667, 0.797], [0.058, 0.670, 0.802], [0.330, 0.389, 0.802], [0.000, 0.000, 0.000], [0.942, 0.330, 0.198], [0.670, 0.611, 0.198], [0.667, 0.333, 0.692], [0.389, 0.058, 0.198]]
}

[9]
{
  "formula": "YbBO3",
  "functional": "PBE-GGA",
  "state": "optimized geometry",
  "vol_a3_per_cell": 124,
  "sg": "Ama2, No. 40",
  "lattice_angstrom": [[-1.160, -2.236, -3.066], [-0.242, -2.048, 3.390], [-7.939, 2.677, 1.050]],
  "species": ["Yb", "B", "Yb", "O", "B", "O", "O", "O", "O", "O"],
  "fractional_positions": [[0.913, 0.913, 0.000], [0.229, 0.510, 0.750], [0.913, 0.913, 0.500], [0.332, 0.680, 0.895], [0.510, 0.229, 0.250], [0.332, 0.680, 0.605], [0.680, 0.332, 0.395], [0.160, 0.997, 0.250], [0.997, 0.160, 0.750], [0.680, 0.332, 0.105]]
}

[10]
{
  "formula": "YbBO3",
  "functional": "PBE-GGA",
  "state": "optimized geometry",
  "vol_a3_per_cell": 336,
  "sg": "Cmcm, No. 63",
  "lattice_angstrom": [[6.577, 0.000, 0.000], [-3.289, 5.717, 0.000], [0.000, 0.000, 8.942]],
  "species": ["B", "O", "B", "O", "Yb", "O", "Yb", "Yb", "O", "O", "O", "O", "Yb", "O", "Yb", "O", "B", "B", "O", "O", "O", "B", "Yb", "O", "O", "O", "O", "O", "B", "O"],
  "fractional_positions": [[0.999, 0.428, 0.500], [0.216, 0.667, 0.500], [0.429, 0.428, 0.000], [0.347, 0.015, 0.641], [0.662, 0.325, 0.750], [0.320, 0.319, 0.141], [0.662, 0.325, 0.250], [0.004, 0.009, 0.250], [0.347, 0.015, 0.359], [0.999, 0.319, 0.641], [0.651, 0.667, 0.358], [0.651, 0.667, 0.642], [0.004, 0.009, 0.750], [0.886, 0.884, 0.000], [0.333, 0.667, 0.250], [0.667, 0.015, 0.859], [0.907, 0.667, 0.000], [0.238, 0.906, 0.500], [0.451, 0.667, 0.000], [0.669, 0.450, 0.000], [0.998, 0.884, 0.500], [0.668, 0.906, 0.000], [0.333, 0.667, 0.750], [0.781, 0.450, 0.500], [0.999, 0.319, 0.359], [0.320, 0.319, 0.859], [0.667, 0.015, 0.141], [0.016, 0.667, 0.858], [0.759, 0.667, 0.500], [0.016, 0.667, 0.142]]
}

[11]
{
  "formula": "YbBO3",
  "functional": "PBE-GGA",
  "state": "optimized geometry",
  "vol_a3_per_cell": 126,
  "sg": "Cmcm, No. 63",
  "lattice_angstrom": [[8.226, 0.000, 0.000], [0.000, 3.591, 0.006], [0.000, 1.785, 4.285]],
  "species": ["O", "B", "O", "Yb", "O", "O", "Yb", "B", "O", "O"],
  "fractional_positions": [[0.104, 0.638, 0.723], [0.250, 0.719, 0.562], [0.396, 0.638, 0.723], [0.500, 0.000, 0.000], [0.896, 0.362, 0.277], [0.250, 0.879, 0.242], [0.000, 0.000, 0.000], [0.750, 0.281, 0.438], [0.750, 0.121, 0.758], [0.604, 0.362, 0.277]]
}

[12]
{
  "formula": "YbBO3",
  "functional": "PBE-GGA",
  "state": "optimized geometry",
  "vol_a3_per_cell": 347,
  "sg": "P6_3/mcm, No. 193",
  "lattice_angstrom": [[3.351, -5.804, 0.000], [3.351, 5.804, 0.000], [0.000, 0.000, 8.921]],
  "species": ["B", "O", "O", "O", "O", "Yb", "O", "B", "O", "O", "O", "O", "O", "Yb", "Yb", "O", "O", "O", "O", "B", "Yb", "O", "B", "Yb", "B", "B", "O", "Yb", "O", "O"],
  "fractional_positions": [[0.607, 0.000, 0.750], [0.311, 0.311, 0.893], [0.000, 0.689, 0.893], [0.689, 0.000, 0.607], [0.000, 0.311, 0.107], [0.667, 0.333, 0.500], [0.689, 0.000, 0.893], [0.393, 0.393, 0.750], [0.689, 0.689, 0.107], [0.596, 0.000, 0.250], [0.000, 0.689, 0.607], [0.311, 0.000, 0.393], [0.000, 0.311, 0.393], [0.333, 0.667, 0.500], [0.000, 0.000, 0.500], [0.311, 0.000, 0.107], [0.311, 0.311, 0.607], [0.404, 0.000, 0.750], [0.404, 0.404, 0.250], [0.000, 0.393, 0.250], [0.667, 0.333, 0.000], [0.596, 0.596, 0.750], [0.607, 0.607, 0.250], [0.000, 0.000, 0.000], [0.000, 0.607, 0.750], [0.393, 0.000, 0.250], [0.000, 0.404, 0.750], [0.333, 0.667, 0.000], [0.000, 0.596, 0.250], [0.689, 0.689, 0.393]]
}

It is found that the ΔE_f (raw) values, taken in the order of the records, are -28.5, -4.8, -2.7, -22.7, -52.4, -28.1, -39.3, -23.9, -13.2, -13.5, -13.4, -12.2 eV/f.u..